# CeAs2Pd

Crystalline CeAs2Pd at its relaxed geometry (PBE, Alexandria via LeMat-Bulk).

Cell lengths 3.8817, 4.5085, 4.5085 Å; angles 90.00, 90.00, 90.00 degrees
Fractional coordinates of all 4 atoms:
1 Ce 0.5000 0.0000 0.0000
2 As 0.0000 0.0000 0.5000
3 As 0.0000 0.5000 0.0000
4 Pd 0.5000 0.5000 0.5000

total energy: -23.55 eV for the cell shown
formation energy: -0.78 eV per atom

# Ce3As4Pd4

Crystalline Ce3As4Pd4 at its relaxed geometry (PBE, Alexandria via LeMat-Bulk).

Cell lengths 4.1779, 7.4500, 8.2085 Å; angles 116.99, 104.74, 90.00 degrees
Each line ends with the local moment (μB).
Fractional coordinates of all 11 atoms:
1 Ce 0.8797 0.8797 0.7594  0.50
2 Ce 0.1203 0.1203 0.2406  0.50
3 Ce 0.0000 0.5000 0.0000  0.27
4 As 0.7812 0.2812 0.5624  -0.01
5 As 0.5000 0.2165 0.0000  -0.02
6 As 0.5000 0.7835 0.0000  -0.02
7 As 0.2188 0.7188 0.4376  -0.01
8 Pd 0.3235 0.1285 0.6471  -0.02
9 Pd 0.3235 0.5186 0.6471  -0.02
10 Pd 0.6765 0.4814 0.3529  -0.02
11 Pd 0.6765 0.8715 0.3529  -0.02

total energy: -68.35 eV for the cell shown
formation energy: -1.02 eV per atom
offset from the most stable computed form: 0.000 eV per atom

# CeAs2Pd6

Crystalline CeAs2Pd6 at its relaxed geometry (PBE, Alexandria via LeMat-Bulk).

Cell lengths 4.1565, 4.1565, 9.0602 Å; angles 90.00, 90.00, 90.00 degrees
Each line ends with the local moment (μB).
Fractional coordinates of all 9 atoms:
1 Pd 0.5000 0.5000 0.5000  0.00
2 Pd 0.0000 0.5000 0.7115  0.00
3 Pd 0.0000 0.0000 0.5000  -0.01
4 Pd 0.0000 0.5000 0.2885  0.00
5 Pd 0.5000 0.0000 0.2885  0.00
6 Pd 0.5000 0.0000 0.7115  0.00
7 Ce 0.0000 0.0000 0.0000  0.57
8 As 0.5000 0.5000 0.8619  0.00
9 As 0.5000 0.5000 0.1381  0.00

total energy: -50.88 eV for the cell shown
formation energy: -0.50 eV per atom
offset from the most stable computed form: 0.000 eV per atom

# Ce4As6Pd5

Crystalline Ce4As6Pd5 at its relaxed geometry (PBE, Alexandria via LeMat-Bulk).

Cell lengths 4.2241, 9.8482, 15.2331 Å; angles 90.00, 90.00, 102.38 degrees
Each line ends with the local moment (μB).
Fractional coordinates of all 30 atoms:
1 Pd 0.3044 0.6087 0.6184  0.01
2 Pd 0.8480 0.6961 0.1304  0.00
3 Pd 0.4462 0.8924 0.6765  -0.01
4 Pd 0.3566 0.7133 0.9743  0.00
5 Pd 0.6434 0.2867 0.4743  0.00
6 Pd 0.3447 0.6894 0.2792  -0.01
7 Pd 0.5538 0.1076 0.1765  -0.01
8 Pd 0.6956 0.3913 0.1184  0.01
9 Pd 0.6553 0.3106 0.7792  -0.01
10 Pd 0.1520 0.3039 0.6304  0.00
11 Ce 0.1844 0.3689 0.9473  0.05
12 Ce 0.9830 0.9659 0.0036  0.49
13 Ce 0.9623 0.9246 0.2672  0.51
14 Ce 0.0377 0.0754 0.7672  0.51
15 Ce 0.1672 0.3344 0.3005  -0.04
16 Ce 0.8156 0.6311 0.4473  0.05
17 Ce 0.0170 0.0341 0.5036  0.49
18 Ce 0.8328 0.6656 0.8005  -0.04
19 As 0.1125 0.2250 0.1177  0.00
20 As 0.5747 0.1493 0.6277  -0.01
21 As 0.4402 0.8804 0.8496  -0.01
22 As 0.2318 0.4635 0.7629  0.00
23 As 0.4253 0.8507 0.1277  -0.01
24 As 0.5598 0.1196 0.3496  -0.01
25 As 0.5769 0.1538 0.9132  -0.01
26 As 0.7682 0.5365 0.2629  0.00
27 As 0.4231 0.8462 0.4132  -0.01
28 As 0.8875 0.7750 0.6177  0.00
29 As 0.2173 0.4346 0.4869  0.00
30 As 0.7827 0.5654 0.9869  0.00

total energy: -184.12 eV for the cell shown
formation energy: -0.96 eV per atom

# CeAs2Pd2

Crystalline CeAs2Pd2 at its relaxed geometry (PBE, Alexandria via LeMat-Bulk).

Cell lengths 4.1704, 6.2086, 7.8953 Å; angles 90.00, 90.00, 109.62 degrees
Each line ends with the local moment (μB).
Fractional coordinates of all 10 atoms:
1 As 0.0511 0.1023 0.5185  0.00
2 As 0.7380 0.4760 0.1620  0.00
3 As 0.9489 0.8977 0.0185  0.00
4 As 0.2620 0.5240 0.6620  0.00
5 Pd 0.6849 0.3699 0.4766  -0.01
6 Pd 0.8817 0.7634 0.7051  0.00
7 Pd 0.1183 0.2366 0.2051  0.00
8 Pd 0.3151 0.6301 0.9766  -0.01
9 Ce 0.5951 0.1901 0.8423  0.62
10 Ce 0.4049 0.8099 0.3423  0.62

total energy: -59.56 eV for the cell shown
formation energy: -0.83 eV per atom

# CeAsPd

Crystalline CeAsPd at its relaxed geometry (PBE, Alexandria via LeMat-Bulk).

Cell lengths 4.4669, 4.4669, 7.4645 Å; angles 89.62, 89.62, 62.68 degrees
Each line ends with the local moment (μB).
Fractional coordinates of all 6 atoms:
1 Pd 0.6717 0.6717 0.5266  -0.03
2 Pd 0.3283 0.3283 0.4734  -0.03
3 As 0.3274 0.3274 0.0032  -0.01
4 As 0.6726 0.6726 0.9968  -0.01
5 Ce 0.0039 0.0039 0.7461  0.52
6 Ce 0.9961 0.9961 0.2539  0.52

total energy: -35.62 eV for the cell shown
formation energy: -0.68 eV per atom